[1]
Material: Mn2NbAlOs
Method: DFT, meta-GGA SCAN
State: single point on PBEsol structure

```
Mn2NbAlOs
1.0
4.2116 0.0000 0.0000
0.0000 4.2116 0.0000
0.0000 0.0000 4.4137
Mn Nb Al Os
2 1 1 1
direct
0.0000 0.5000 0.0000 Mn
0.5000 0.0000 0.0000 Mn
0.0000 0.0000 0.5000 Nb
0.5000 0.5000 0.0000 Al
0.5000 0.5000 0.5000 Os
```



[2]
Material: MnNbAlRu2
Method: DFT, meta-GGA SCAN
State: single point on PBEsol structure

```
MnNbAlRu2
1.0
4.3269 0.0000 0.0000
0.0000 4.3269 0.0000
0.0000 0.0000 4.2887
Mn Nb Al Ru
1 1 1 2
direct
0.0000 0.0000 0.0000 Mn
0.5000 0.5000 0.5000 Nb
0.0000 0.0000 0.5000 Al
0.0000 0.5000 0.0000 Ru
0.5000 0.0000 0.0000 Ru
```



[3]
Material: MnNbAlZn2
Method: DFT, meta-GGA SCAN
State: single point on PBEsol structure

```
MnNbAlZn2
1.0
4.5381 0.0000 0.0000
0.0000 4.5381 0.0000
0.0000 0.0000 4.3712
Mn Nb Al Zn
1 1 1 2
direct
0.0000 0.0000 0.0000 Mn
0.0000 0.0000 0.5000 Nb
0.5000 0.5000 0.5000 Al
0.0000 0.5000 0.0000 Zn
0.5000 0.0000 0.0000 Zn
```



The records above give, respectively, electronic total energy values of -28.99 -24.98 -16.57 eV/atom.
The records above give, respectively, E_form values of 864 776 662 meV/atom.